1.
# PBE CdRhW2C, relaxed
# energy = -8.09 eV/atom
# calculated volume = 76.10 Å³ per cell
# calculated formation energy = 0.587 eV per atom
data_CdRhW2C
_chemical_formula_sum 'Cd1 Rh1 W2 C1'
_cell_length_a 4.101
_cell_length_b 4.101
_cell_length_c 4.525
_cell_angle_alpha 90.00
_cell_angle_beta 90.00
_cell_angle_gamma 90.00
_space_group_name_H-M_alt 'P 4/m m m'
_space_group_IT_number 123
_space_group_name_Hall '-P 4 2'
loop_
_atom_site_label
_atom_site_fract_x
_atom_site_fract_y
_atom_site_fract_z
Cd1 0.000 0.000 0.000
Rh1 0.500 0.500 0.000
W1 0.000 0.500 0.500
C1 0.000 0.000 0.500


2.
# PBE PmAl4Fe, relaxed
# energy = -5.14 eV/atom
# calculated volume = 212.84 Å³ per cell
# calculated formation energy = -0.447 eV per atom
data_PmAl4Fe
_chemical_formula_sum 'Pm2 Al8 Fe2'
_cell_length_a 7.654
_cell_length_b 4.049
_cell_length_c 6.868
_cell_angle_alpha 90.00
_cell_angle_beta 90.00
_cell_angle_gamma 90.00
_space_group_name_H-M_alt 'P m m a'
_space_group_IT_number 51
loop_
_space_group_symop_operation_xyz
'x,y,z'
'-x,-y,-z'
'-x+1/2,-y,z'
'x+1/2,y,-z'
'x+1/2,-y,-z'
'-x+1/2,y,z'
'-x,y,-z'
'x,-y,z'
loop_
_atom_site_label
_atom_site_fract_x
_atom_site_fract_y
_atom_site_fract_z
Pm1 0.250 0.000 0.121
Al1 0.000 0.000 0.500
Al2 0.071 0.500 0.803
Al3 0.250 0.500 0.463
Fe1 0.250 0.000 0.689


- energy of number 2 (PmAl4Fe)?
  -5.14 eV/atom